1.
Density functional theory data (PBE) for a geometry-optimized TlCd8Au6 structure.

Lattice parameters (Å, degrees): 7.496 7.496 7.496 65.86 65.86 65.86
Fractional coordinates of all 15 atoms:
Cd  0.117  0.785  0.451
Cd  0.549  0.883  0.215
Cd  0.333  0.333  0.333
Cd  0.785  0.451  0.117
Cd  0.667  0.667  0.667
Cd  0.215  0.549  0.883
Cd  0.883  0.215  0.549
Cd  0.451  0.117  0.785
Tl  0.000  0.000  0.000
Au  0.715  0.055  0.395
Au  0.285  0.945  0.605
Au  0.605  0.285  0.945
Au  0.395  0.715  0.055
Au  0.945  0.605  0.285
Au  0.055  0.395  0.715

Results
energy: -2.10 eV/atom
ΔH_f (0 K): -0.145 eV/atom
SG: R-3
magnetic moment: 0.000 μB/atom



2.
Density functional theory data (PBE) for a geometry-optimized Tl2CdAu3 structure.

Lattice parameters (Å, degrees): 5.640 5.640 5.956 88.91 120.87 118.58
Fractional coordinates of all 6 atoms:
Tl  0.238  0.620  0.858
Tl  0.762  0.380  0.142
Cd  0.000  0.000  0.000
Au  0.000  0.000  0.500
Au  0.500  0.000  0.500
Au  0.500  0.500  0.500

Results
energy: -2.62 eV/atom
ΔH_f (0 K): -0.038 eV/atom
SG: C2/m
magnetic moment: 0.000 μB/atom